Compound: Li2MgCl
Source: Alexandria
Functional: GGA-PBE
Structure: relaxed

abc: 7.2664 7.2664 6.9956
angles: 90.00 90.00 90.00
Space group I-42d (No. 122)
One atom of each set of equivalent atoms:
1 Li 0.1722 0.7500 0.1250
2 Mg 0.0000 0.0000 0.5000
3 Cl 0.0000 0.0000 0.0000

Properties
- crystal system = tetragonal
- formation energy (no corrections) (eV per atom) = -0.60

Compound: LiMg2Cl
Source: Alexandria
Functional: GGA-PBE
Structure: relaxed

abc: 4.0922 4.0922 10.4639
angles: 90.00 90.00 90.00
Space group I-4m2 (No. 119)
One atom of each set of equivalent atoms:
1 Li 0.0000 0.0000 0.0000
2 Mg 0.0000 0.0000 0.5000
3 Mg 0.0000 0.5000 0.7500
4 Cl 0.0000 0.5000 0.2500

Properties
- crystal system = tetragonal
- formation energy (no corrections) (eV per atom) = -0.35

Compound: LiMg2Cl
Source: Alexandria
Functional: GGA-PBE
Structure: relaxed

abc: 3.2398 3.3345 8.3962
angles: 90.00 101.09 90.00
Space group Pm (No. 6)
One atom of each set of equivalent atoms:
1 Li 0.0000 0.0000 0.0000
2 Mg 0.2883 0.0000 0.5745
3 Mg 0.6627 0.5000 0.3163
4 Cl 0.4492 0.5000 0.8978

Properties
- crystal system = monoclinic
- formation energy (no corrections) (eV per atom) = -0.62

Compound: Li2MgCl
Source: Alexandria
Functional: GGA-PBE
Structure: relaxed

abc: 5.8451 3.3744 8.5748
angles: 90.00 103.21 90.00
Space group C2/m (No. 12)
One atom of each set of equivalent atoms:
1 Li 0.2284 0.0000 0.1836
2 Mg 0.0000 0.0000 0.5000
3 Cl 0.0000 0.5000 0.0000

Properties
- crystal system = monoclinic
- formation energy (no corrections) (eV per atom) = -0.80

Compound: LiMg2Cl
Source: Alexandria
Functional: GGA-PBE
Structure: relaxed

abc: 4.0055 4.0055 11.7712
angles: 90.00 90.00 90.00
Space group I4/mmm (No. 139)
One atom of each set of equivalent atoms:
1 Li 0.0000 0.0000 0.0000
2 Mg 0.0000 0.5000 0.2500
3 Cl 0.0000 0.0000 0.5000

Properties
- crystal system = tetragonal
- formation energy (no corrections) (eV per atom) = -0.41

Compound: Li2MgCl
Source: Alexandria
Functional: GGA-PBE
Structure: relaxed

abc: 4.7867 4.7867 3.6345
angles: 90.00 90.00 90.00
Space group P4/mmm (No. 123)
One atom of each set of equivalent atoms:
1 Li 0.0000 0.5000 0.0000
2 Mg 0.0000 0.0000 0.5000
3 Cl 0.5000 0.5000 0.5000

Properties
- crystal system = tetragonal
- formation energy (no corrections) (eV per atom) = -0.46

Compound: Li2Mg3Cl8
Source: Alexandria
Functional: GGA-PBE
Structure: relaxed

abc: 12.3005 7.2971 6.4207
angles: 90.00 97.01 90.00
Space group C2/m (No. 12)
One atom of each set of equivalent atoms:
1 Li 0.2132 0.0000 0.0721
2 Mg 0.0000 0.2448 0.5000
3 Mg 0.0000 0.5000 0.0000
4 Cl 0.1088 0.5000 0.3533
5 Cl 0.1142 0.0000 0.3747
6 Cl 0.1224 0.2650 0.8555

Properties
- crystal system = monoclinic
- formation energy (no corrections) (eV per atom) = -1.83

Compound: Li2MgCl
Source: Alexandria
Functional: GGA-PBE
Structure: relaxed

abc: 16.7174 3.2038 3.3006
angles: 90.00 101.39 90.00
Space group Cm (No. 8)
One atom of each set of equivalent atoms:
1 Li 0.0000 0.0000 0.0000
2 Li 0.1836 0.0000 0.6839
3 Mg 0.3629 0.0000 0.3610
4 Cl 0.1183 0.5000 0.1184

Properties
- crystal system = monoclinic
- formation energy (no corrections) (eV per atom) = -0.72